1.
The following is a DFT calculation (PBE-GGA) of a relaxed Ti4CoNi crystal.

Calculated values
- Fermi-level density of states (states/eV/f.u.) = 6.78
- ΔH_f (0 K) (eV/atom) = -0.0622

a b c (Å): 13.3257 2.8940 4.9713
angles (deg): 90.00 111.47 90.00
Space group C2/m (No. 12)
Inequivalent atoms, fractional coordinates:
Ti 0.1575 0.0000 0.4928
Ti 0.1578 0.5000 0.9895
Co 0.0000 0.5000 0.5000
Ni 0.0000 0.0000 0.0000

2.
The following is a DFT calculation (PBE-GGA) of a relaxed ZnTeAuN2 crystal.

Calculated values
- DFT total energy (eV per atom) = -3.446
- Fermi-level density of states (states/eV/f.u.) = 2.11

a b c (Å): 3.9778 3.9778 6.1991
angles (deg): 90.00 90.00 90.00
Space group P4/mmm (No. 123)
Inequivalent atoms, fractional coordinates:
Zn 0.0000 0.0000 0.0000
Te 0.0000 0.0000 0.5000
Au 0.5000 0.5000 0.5000
N 0.0000 0.5000 0.0000

3.
The following is a DFT calculation (PBE-GGA) of a relaxed LiSmIr crystal.

Calculated values
- Fermi-level density of states (states/eV/f.u.) = 1.12
- ΔH_f (0 K) (eV/atom) = -0.3508

a b c (Å): 4.4412 4.4412 3.4009
angles (deg): 90.00 90.00 120.00
Space group P-6m2 (No. 187)
Inequivalent atoms, fractional coordinates:
Li 0.0000 0.0000 0.0000
Sm 0.3333 0.6667 0.5000
Ir 0.6667 0.3333 0.0000

4.
The following is a DFT calculation (PBE-GGA) of a relaxed PmY3Cd6 crystal.

Calculated values
- Fermi-level density of states (states/eV/f.u.) = 8.17
- ΔH_f (0 K) (eV/atom) = -0.3093

a b c (Å): 9.2178 5.2104 11.1553
angles (deg): 90.00 106.26 90.00
Space group P2_1/m (No. 11)
Inequivalent atoms, fractional coordinates:
Pm 0.0590 0.2500 0.3900
Y 0.2380 0.2500 0.9997
Y 0.3504 0.7500 0.7964
Y 0.4718 0.2500 0.6080
Cd 0.0538 0.7500 0.9038
Cd 0.1454 0.7500 0.1965
Cd 0.1554 0.2500 0.6968
Cd 0.2472 0.7500 0.5022
Cd 0.3480 0.2500 0.2923
Cd 0.4526 0.7500 0.0950

5.
The following is a DFT calculation (PBE-GGA) of a relaxed Sc9Pb3N2 crystal.

Calculated values
- DFT total energy (eV per atom) = -6.876
- Fermi-level density of states (states/eV/f.u.) = 15.35

a b c (Å): 6.3936 6.3936 7.8443
angles (deg): 90.00 90.00 120.00
Space group P-3m1 (No. 164)
Inequivalent atoms, fractional coordinates:
Sc 0.0000 0.5000 0.0000
Sc 0.1697 0.3394 0.6715
Pb 0.0000 0.0000 0.0000
Pb 0.3333 0.6667 0.3355
N 0.3333 0.6667 0.8389

6.
The following is a DFT calculation (PBE-GGA) of a relaxed BeBrNO2 crystal.

Calculated values
- DFT total energy (eV per atom) = -4.352
- Fermi-level density of states (states/eV/f.u.) = 4.56

a b c (Å): 3.1603 3.1603 6.3816
angles (deg): 90.00 90.00 90.00
Space group P4/mmm (No. 123)
Inequivalent atoms, fractional coordinates:
Be 0.0000 0.0000 0.0000
Br 0.5000 0.5000 0.5000
N 0.0000 0.0000 0.5000
O 0.0000 0.5000 0.0000

7.
The following is a DFT calculation (PBE-GGA) of a relaxed NdDy3Sc7 crystal.

Calculated values
- Fermi-level density of states (states/eV/f.u.) = 17.51
- ΔH_f (0 K) (eV/atom) = 0.2853

a b c (Å): 12.0382 10.5238 5.4598
angles (deg): 90.00 116.87 90.00
Space group C2/m (No. 12)
Inequivalent atoms, fractional coordinates:
Nd 0.0000 0.0000 0.0000
Dy 0.0000 0.2903 0.5000
Dy 0.0000 0.5000 0.0000
Sc 0.0000 0.0000 0.5000
Sc 0.2067 0.5000 0.7061
Sc 0.2183 0.3101 0.2182

8.
The following is a DFT calculation (PBE-GGA) of a relaxed Li5Pm3Pb6 crystal.

Calculated values
- Fermi-level density of states (states/eV/f.u.) = 3.02
- ΔH_f (0 K) (eV/atom) = -0.3961

a b c (Å): 4.7978 13.8300 10.4748
angles (deg): 90.00 90.00 90.00
Space group Pmmn (No. 59, origin choice 2)
Inequivalent atoms, fractional coordinates:
Li 0.2500 0.1025 0.1102
Li 0.2500 0.6088 0.4805
Li 0.2500 0.7500 0.2404
Pm 0.2500 0.0446 0.7490
Pm 0.2500 0.7500 0.7625
Pb 0.2500 0.0916 0.3648
Pb 0.2500 0.2500 0.5798
Pb 0.2500 0.2500 0.9400
Pb 0.2500 0.5918 0.0263

9.
The following is a DFT calculation (PBE-GGA) of a relaxed ZnGe2SbMo crystal.

Calculated values
- DFT total energy (eV per atom) = -4.157
- Fermi-level density of states (states/eV/f.u.) = 2.65

a b c (Å): 4.6988 4.6988 5.0825
angles (deg): 90.00 90.00 90.00
Space group P4/mmm (No. 123)
Inequivalent atoms, fractional coordinates:
Zn 0.0000 0.0000 0.0000
Ge 0.0000 0.5000 0.0000
Sb 0.5000 0.5000 0.5000
Mo 0.0000 0.0000 0.5000

10.
The following is a DFT calculation (PBE-GGA) of a relaxed HoSi2IrPd2 crystal.

Calculated values
- DFT total energy (eV per atom) = -6.220
- Fermi-level density of states (states/eV/f.u.) = 2.25

a b c (Å): 4.5564 4.5564 5.5274
angles (deg): 90.00 90.00 90.00
Space group P4/mmm (No. 123)
Inequivalent atoms, fractional coordinates:
Ho 0.0000 0.0000 0.0000
Si 0.0000 0.5000 0.5000
Ir 0.0000 0.0000 0.5000
Pd 0.5000 0.5000 0.2456

11.
The following is a DFT calculation (PBE-GGA) of a relaxed AcZn4Ag crystal.

Calculated values
- Fermi-level density of states (states/eV/f.u.) = 5.21
- ΔH_f (0 K) (eV/atom) = -0.1020

a b c (Å): 7.8818 7.8818 7.8818
angles (deg): 90.00 90.00 90.00
Space group F-43m (No. 216)
Inequivalent atoms, fractional coordinates:
Ac 0.0000 0.0000 0.0000
Zn 0.1234 0.1234 0.3766
Ag 0.2500 0.2500 0.7500

12.
The following is a DFT calculation (PBE-GGA) of a relaxed PmLuGe2 crystal.

Calculated values
- Fermi-level density of states (states/eV/f.u.) = 2.59
- ΔH_f (0 K) (eV/atom) = -0.6088

a b c (Å): 3.3687 3.3687 8.0433
angles (deg): 90.00 90.00 90.00
Space group P4/mmm (No. 123)
Inequivalent atoms, fractional coordinates:
Pm 0.0000 0.0000 0.0000
Lu 0.0000 0.0000 0.5000
Ge 0.5000 0.5000 0.2614

13.
The following is a DFT calculation (PBE-GGA) of a relaxed HoTmGe crystal.

Calculated values
- Fermi-level density of states (states/eV/f.u.) = 2.82
- ΔH_f (0 K) (eV/atom) = -0.5164

a b c (Å): 6.8301 6.8301 6.8301
angles (deg): 90.00 90.00 90.00
Space group F-43m (No. 216)
Inequivalent atoms, fractional coordinates:
Ho 0.0000 0.0000 0.0000
Tm 0.0000 0.0000 0.5000
Ge 0.2500 0.2500 0.2500

14.
The following is a DFT calculation (PBE-GGA) of a relaxed Mg2ReTc crystal.

Calculated values
- Fermi-level density of states (states/eV/f.u.) = 2.40
- ΔH_f (0 K) (eV/atom) = 0.2654

a b c (Å): 5.3826 9.1658 2.6832
angles (deg): 90.00 105.44 90.00
Space group C2/m (No. 12)
Inequivalent atoms, fractional coordinates:
Mg 0.2500 0.2500 0.0000
Re 0.0000 0.0000 0.5000
Tc 0.0000 0.5000 0.5000

15.
The following is a DFT calculation (PBE-GGA) of a relaxed PmIn2SbO8 crystal.

Calculated values
- DFT total energy (eV per atom) = -6.094
- Fermi-level density of states (states/eV/f.u.) = 8.74

a b c (Å): 4.9271 6.9652 4.9359
angles (deg): 90.00 90.55 90.00
Space group P2/m (No. 10)
Inequivalent atoms, fractional coordinates:
Pm 0.0000 0.0000 0.0000
In 0.5000 0.2605 0.5000
Sb 0.0000 0.5000 0.0000
O 0.1889 0.2839 0.1907
O 0.2903 0.5000 0.7115
O 0.3255 0.0000 0.6774

16.
The following is a DFT calculation (PBE-GGA) of a relaxed Ba3AlSn crystal.

Calculated values
- Fermi-level density of states (states/eV/f.u.) = 12.24
- ΔH_f (0 K) (eV/atom) = 0.1251

a b c (Å): 6.3565 6.3565 6.3565
angles (deg): 90.00 90.00 90.00
Space group Pm-3m (No. 221)
Inequivalent atoms, fractional coordinates:
Ba 0.0000 0.0000 0.5000
Al 0.0000 0.0000 0.0000
Sn 0.5000 0.5000 0.5000

17.
The following is a DFT calculation (PBE-GGA) of a relaxed Zn3Ag crystal.

Calculated values
- Fermi-level density of states (states/eV/f.u.) = 0.28
- ΔH_f (0 K) (eV/atom) = -0.0355

a b c (Å): 5.6869 9.8759 4.4202
angles (deg): 90.00 90.00 90.00
Space group Cmcm (No. 63)
Inequivalent atoms, fractional coordinates:
Zn 0.0000 0.0823 0.2500
Zn 0.2461 0.1653 0.7500
Ag 0.0000 0.4091 0.7500

18.
The following is a DFT calculation (PBE-GGA) of a relaxed Rb2Co2Hg crystal.

Calculated values
- Fermi-level density of states (states/eV/f.u.) = 6.94
- ΔH_f (0 K) (eV/atom) = 0.8984

a b c (Å): 10.2614 10.2614 3.1057
angles (deg): 90.00 90.00 90.00
Space group P4/mbm (No. 127)
Inequivalent atoms, fractional coordinates:
Rb 0.2031 0.2969 0.0000
Co 0.0723 0.5723 0.5000
Hg 0.0000 0.0000 0.0000

19.
The following is a DFT calculation (PBE-GGA) of a relaxed Pm2Zn3Pt crystal.

Calculated values
- Fermi-level density of states (states/eV/f.u.) = 4.08
- ΔH_f (0 K) (eV/atom) = -0.6180

a b c (Å): 3.7362 4.4815 7.7394
angles (deg): 90.00 90.00 90.00
Space group Pmm2 (No. 25)
Inequivalent atoms, fractional coordinates:
Pm 0.0000 0.0000 0.0000
Pm 0.0000 0.5000 0.4610
Zn 0.5000 0.0000 0.6531
Zn 0.5000 0.5000 0.1368
Zn 0.5000 0.5000 0.8083
Pt 0.5000 0.0000 0.3137

20.
The following is a DFT calculation (PBE-GGA) of a relaxed LaZrPt2 crystal.

Calculated values
- Fermi-level density of states (states/eV/f.u.) = 2.43
- ΔH_f (0 K) (eV/atom) = -0.7233

a b c (Å): 4.1981 4.1981 9.4510
angles (deg): 90.00 90.00 90.00
Space group I-4m2 (No. 119)
Inequivalent atoms, fractional coordinates:
La 0.0000 0.0000 0.0000
Zr 0.0000 0.5000 0.2500
Pt 0.0000 0.0000 0.5000
Pt 0.0000 0.5000 0.7500